The following is a PBE calculation of crystalline YCoW2 at its relaxed geometry, from Alexandria via LeMat-Bulk.

```
YCoW2
1.0
5.2502 -0.0016 0.0028
1.9110 4.8900 -0.0028
-2.9289 -3.3989 2.7264
Y W Co
1 2 1
Cartesian
3.5004 2.3894 0.0000 Y
0.0645 0.0440 0.0000 W
3.1250 -0.3593 1.3646 W
1.1230 1.8596 1.3618 Co
```

Output
The energy of formation from the pure elements comes out at 0.55 eV per atom. As for the mass density: 12.233 g/cm3. As for the volume: 70 Å³ per cell.

The following is a PBE calculation of crystalline Ba2NaLi2Hg5 at its relaxed geometry, from Alexandria via LeMat-Bulk.

```
Ba2NaLi2Hg5
1.0
3.9725 0.0000 0.0000
0.0000 11.7890 0.0000
0.0000 0.0000 11.7890
Ba Hg Li Na
4 10 4 2
Cartesian
0.0000 9.6333 8.0501 Ba
0.0000 2.1556 3.7389 Ba
0.0000 3.7389 9.6333 Ba
0.0000 8.0501 2.1556 Ba
1.9863 5.8945 0.0000 Hg
1.9863 5.2278 3.4133 Hg
1.9863 0.0000 5.8945 Hg
1.9863 8.3757 5.2278 Hg
1.9863 2.4812 0.6667 Hg
1.9863 11.1223 2.4812 Hg
1.9863 0.6667 9.3078 Hg
1.9863 6.5611 8.3757 Hg
1.9863 9.3078 11.1223 Hg
1.9863 3.4133 6.5611 Hg
0.0000 1.3568 7.2513 Li
0.0000 4.5377 1.3568 Li
0.0000 10.4322 4.5377 Li
0.0000 7.2513 10.4322 Li
0.0000 0.0000 0.0000 Na
0.0000 5.8945 5.8945 Na
```

Output
The energy of formation from the pure elements comes out at -0.35 eV per atom. As for the mass density: 7.907 g/cm3. As for the volume: 552 Å³ per cell.

Number 1: E -9.32 eV per atom. Number 2: E -1.40 eV per atom.